VASP calculation (PBE) on an optimized crystal structure of Sr2Mn2P2N.

POSCAR file:
```
Sr2Mn2P2N
1.0
-2.2323 2.8398 -1.2891
-4.9267 0.0810 3.0047
0.2308 4.7261 4.3063
Mn Sr P N
2 2 2 1
direct
0.1838 0.6986 0.9337
0.8162 0.3014 0.0663
0.5591 0.1943 0.6875
0.4409 0.8057 0.3125
0.8038 0.6337 0.7587
0.1962 0.3663 0.2413
0.0000 0.0000 0.0000
```

VASP energy: -6.6951 eV per atom
SG: C2/m (12)

VASP calculation (PBE) on an optimized crystal structure of Zr3ScTe6.

POSCAR file:
```
Zr3ScTe6
1.0
-0.9762 -6.9285 0.9331
8.5948 -0.8238 2.8747
-4.4473 1.6718 7.7614
Te Sc Zr
12 2 6
direct
0.7090 0.5565 0.1044
0.2421 0.9949 0.0051
0.6648 0.2950 0.3581
0.6648 0.6419 0.7050
0.2090 0.4435 0.8956
0.1476 0.7502 0.2498
0.1648 0.7050 0.6419
0.2090 0.1044 0.5565
0.6476 0.2498 0.7502
0.7090 0.8956 0.4435
0.1648 0.3581 0.2950
0.7421 0.0051 0.9949
0.0160 0.1627 0.8373
0.5160 0.8373 0.1627
0.9812 0.0496 0.2693
0.9812 0.7307 0.9504
0.3698 0.4114 0.5886
0.4812 0.9504 0.7307
0.8698 0.5886 0.4114
0.4812 0.2693 0.0496
```

VASP energy: -5.8639 eV per atom
SG: Cmc2_1 (36)

VASP calculation (PBE) on an optimized crystal structure of ZnCr2Rh9.

POSCAR file:
```
ZnCr2Rh9
1.0
3.8008 0.0000 0.0000
0.0000 3.8008 0.0000
0.0000 0.0000 11.4883
Rh Cr Zn
9 2 1
direct
0.5000 0.5000 0.3368
0.0000 0.5000 0.1733
0.0000 0.5000 0.8267
0.5000 0.0000 0.1733
0.0000 0.5000 0.5000
0.5000 0.0000 0.8267
0.5000 0.0000 0.5000
0.5000 0.5000 0.6632
0.5000 0.5000 0.0000
0.0000 0.0000 0.3289
0.0000 0.0000 0.6711
0.0000 0.0000 0.0000
```

VASP energy: -7.3609 eV per atom
energy of formation: -0.137 eV/atom
SG: P4/mmm (123)

VASP calculation (PBE) on an optimized crystal structure of CsSrSb.

POSCAR file:
```
CsSrSb
1.0
-5.9360 1.6388 -4.3372
-0.8125 -4.5864 5.9193
-2.5045 9.5003 7.0172
Sb Sr Cs
2 2 2
direct
0.0000 0.0000 0.5000
0.0000 0.0000 0.0000
0.0000 0.0000 0.2500
0.0000 0.0000 0.7500
0.3333 0.6667 0.2500
0.6667 0.3333 0.7500
```

VASP energy: -2.0737 eV per atom
SG: P6_3/mmc (194)

Q: Which of these has the lowest VASP energy?
A: ZnCr2Rh9

Q: Look up the VASP energy of the second one.
A: -5.8639 eV per atom

Q: The lowest VASP energy belongs to which entry?
A: ZnCr2Rh9

Q: Among the records above, which one has the lowest VASP energy?
A: ZnCr2Rh9